Material: TaTl2TcO6
Method: DFT, PBE-GGA
State: relaxed

a = 8.070 Å, b = 8.070 Å, c = 8.070 Å
α = 90.00°, β = 90.00°, γ = 90.00°
Space group Fm-3m (No. 225)
Unique sites:
Ta 0.000 0.000 0.000 x4
Tl 0.250 0.250 0.250 x8
Tc 0.000 0.000 0.500 x4
O 0.000 0.000 0.253 x24

Output
formation energy from raw total energies = -36.75 kcal/mol of atoms
density of states at the Fermi level = 14.1 states/eV/cell
energy = -0.534 Ry/atom
total moment = 0.0 μB per formula unit